LaNd2SmY2 | PBE | optimized geometry

Properties
V   417.1 Å³ per cell
Calculated formation energy   0.24 eV/atom
Space group   Pnnm (58)
Total magnetic moment   0.00 μB/atom

Lattice parameters (Å, degrees): 6.740 18.019 3.434 90.00 90.00 90.00
Sites, in units of the cell vectors:
1 La 0.000 0.000 0.000
2 La 0.500 0.500 0.500
3 Nd 0.225 0.349 0.500
4 Nd 0.275 0.849 0.000
5 Nd 0.725 0.151 0.000
6 Nd 0.775 0.651 0.500
7 Sm 0.000 0.500 0.000
8 Sm 0.500 0.000 0.500
9 Y 0.230 0.180 0.000
10 Y 0.270 0.680 0.500
11 Y 0.730 0.320 0.500
12 Y 0.770 0.820 0.000

***

La6Nd2SmY | PBE | optimized geometry

Properties
V   714.9 Å³ per cell
Calculated formation energy   0.11 eV/atom
Space group   C2/c (15)
Total magnetic moment   0.00 μB/atom

Lattice parameters (Å, degrees): 9.164 9.164 9.352 90.86 90.86 114.41
Sites, in units of the cell vectors:
1 La 0.023 0.461 0.819
2 La 0.079 0.773 0.588
3 La 0.227 0.921 0.912
4 La 0.284 0.567 0.401
5 La 0.433 0.716 0.099
6 La 0.461 0.023 0.319
7 La 0.539 0.977 0.681
8 La 0.567 0.284 0.901
9 La 0.716 0.433 0.599
10 La 0.773 0.079 0.088
11 La 0.921 0.227 0.412
12 La 0.977 0.539 0.181
13 Nd 0.204 0.294 0.064
14 Nd 0.294 0.204 0.564
15 Nd 0.706 0.796 0.436
16 Nd 0.796 0.706 0.936
17 Sm 0.065 0.935 0.250
18 Sm 0.935 0.065 0.750
19 Y 0.425 0.575 0.750
20 Y 0.575 0.425 0.250

***

LaNd2Sm5Y | PBE | optimized geometry

Properties
V   626.5 Å³ per cell
Calculated formation energy   0.26 eV/atom
Space group   I4/mcm (140)
Total magnetic moment   0.00 μB/atom

Lattice parameters (Å, degrees): 10.110 10.110 10.110 127.79 127.79 76.96
Sites, in units of the cell vectors:
1 La 0.250 0.250 0.000
2 La 0.750 0.750 0.000
3 Nd 0.117 0.617 0.734
4 Nd 0.383 0.117 0.500
5 Nd 0.617 0.883 0.500
6 Nd 0.883 0.383 0.266
7 Sm 0.000 0.000 0.000
8 Sm 0.073 0.153 0.500
9 Sm 0.153 0.653 0.080
10 Sm 0.347 0.427 0.500
11 Sm 0.427 0.927 0.080
12 Sm 0.500 0.500 0.000
13 Sm 0.573 0.073 0.920
14 Sm 0.653 0.573 0.500
15 Sm 0.847 0.347 0.920
16 Sm 0.927 0.847 0.500
17 Y 0.250 0.750 0.500
18 Y 0.750 0.250 0.500

***

La3NdSmY | PBE | optimized geometry

Properties
V   425.3 Å³ per cell
Calculated formation energy   0.02 eV/atom
Space group   P2_1/m (11)
Total magnetic moment   0.00 μB/atom

Lattice parameters (Å, degrees): 8.186 5.243 10.461 90.00 108.69 90.00
Sites, in units of the cell vectors:
1 La 0.168 0.250 0.041
2 La 0.168 0.250 0.543
3 La 0.170 0.750 0.292
4 La 0.830 0.250 0.708
5 La 0.832 0.750 0.457
6 La 0.832 0.750 0.959
7 Nd 0.169 0.750 0.792
8 Nd 0.831 0.250 0.208
9 Sm 0.499 0.750 0.124
10 Sm 0.501 0.250 0.876
11 Y 0.498 0.750 0.625
12 Y 0.502 0.250 0.375

***

La2NdSmY | PBE | optimized geometry

Properties
V   355.0 Å³ per cell
Calculated formation energy   0.03 eV/atom
Space group   P2_1/m (11)
Total magnetic moment   0.00 μB/atom

Lattice parameters (Å, degrees): 6.444 5.920 9.841 90.00 108.97 90.00
Sites, in units of the cell vectors:
1 La 0.039 0.250 0.400
2 La 0.232 0.250 0.801
3 La 0.768 0.750 0.199
4 La 0.961 0.750 0.600
5 Nd 0.365 0.750 0.399
6 Nd 0.635 0.250 0.601
7 Sm 0.432 0.250 0.196
8 Sm 0.568 0.750 0.804
9 Y 0.166 0.750 0.001
10 Y 0.834 0.250 0.999

***

La4Nd2SmY2 | PBE | optimized geometry

Properties
V   319.1 Å³ per cell
Calculated formation energy   0.02 eV/atom
Space group   C2/m (12)
Total magnetic moment   0.00 μB/atom

Lattice parameters (Å, degrees): 9.815 9.815 9.888 115.26 115.26 21.84
Sites, in units of the cell vectors:
1 La 0.019 0.019 0.334
2 La 0.315 0.315 0.668
3 La 0.685 0.685 0.332
4 La 0.981 0.981 0.666
5 Nd 0.166 0.166 0.999
6 Nd 0.834 0.834 0.001
7 Sm 0.500 0.500 0.000
8 Y 0.351 0.351 0.328
9 Y 0.649 0.649 0.672